<a>
Here is an optimized crystal structure of La2FeNi from Alexandria. Energies are from PBE-GGA.

crystal system: tetragonal
spin magnetization: 0.968 Bohr magnetons per cell

Lattice parameters (Å, degrees): 3.5515 3.5515 7.0768 90.00 90.00 90.03
Closest atoms and distances in Å follow each position.
Element x y z (fractional)
Fe: 0.5000 0.5000 0.7500  8 La 3.07
Ni: 0.5000 0.5000 0.2500  8 La 3.07
La: 0.0000 0.0000 0.4996  4 Ni 3.07, 4 Fe 3.07
La: 0.0000 0.0000 0.0004  4 Ni 3.07, 4 Fe 3.07

***

<b>
Here is an optimized crystal structure of La2FeNi from Alexandria. Energies are from PBE-GGA.

crystal system: orthorhombic
spin magnetization: 1.209 Bohr magnetons per cell

Lattice parameters (Å, degrees): 4.0287 4.0424 6.1403 70.79 90.00 90.00
Closest atoms and distances in Å follow each position.
Element x y z (fractional)
Ni: 0.0000 0.6823 0.5097  2 Fe 2.44
Fe: 0.5000 0.5649 0.7457  2 Ni 2.44
La: 0.0000 0.9871 0.9012  4 Fe 2.99, 2 Ni 3.04
La: 0.5000 0.2656 0.3434  4 Ni 3.01, 2 Fe 3.09

***

<b> comes first in stability; the runner-up is 91 meV per atom higher.